## HPtO2 (PBE-GGA)

Data for a geometry-optimized HPtO2 structure.

The structure in CIF format:
```
data_HPtO2
_symmetry_space_group_name_H-M 'P 1'
_symmetry_Int_Tables_number 1
_symmetry_space_group_name_Hall 'P 1'
_cell_length_a 5.8932
_cell_length_b 5.8932
_cell_length_c 5.8932
_cell_angle_alpha 26.61
_cell_angle_beta 26.61
_cell_angle_gamma 26.61
loop_
_atom_site_label
_atom_site_type_symbol
_atom_site_fract_x
_atom_site_fract_y
_atom_site_fract_z
H1 H 0.0000 0.0000 0.0000
Pt1 Pt 0.5000 0.5000 0.5000
O1 O 0.3905 0.3905 0.3905
O2 O 0.6095 0.6095 0.6095
```

Summary:
M_tot   0.00 Bohr magnetons per cell

---

## H2PtO2 (PBE-GGA)

Data for a geometry-optimized H2PtO2 structure.

The structure in CIF format:
```
data_H2PtO2
_symmetry_space_group_name_H-M 'P 1'
_symmetry_Int_Tables_number 1
_symmetry_space_group_name_Hall 'P 1'
_cell_length_a 3.6156
_cell_length_b 3.6156
_cell_length_c 4.4151
_cell_angle_alpha 107.54
_cell_angle_beta 107.54
_cell_angle_gamma 65.98
loop_
_atom_site_label
_atom_site_type_symbol
_atom_site_fract_x
_atom_site_fract_y
_atom_site_fract_z
H1 H 0.2029 0.2029 0.0706
H2 H 0.7971 0.7971 0.9294
Pt1 Pt 0.0000 0.0000 0.5000
O1 O 0.2678 0.2678 0.3128
O2 O 0.7322 0.7322 0.6872
```

Summary:
M_tot   0.00 Bohr magnetons per cell

---

## RbH2Pt2O6 (PBE-GGA)

Data for a geometry-optimized RbH2Pt2O6 structure.

The structure in CIF format:
```
data_RbH2Pt2O6
_symmetry_space_group_name_H-M 'P 1'
_symmetry_Int_Tables_number 1
_symmetry_space_group_name_Hall 'P 1'
_cell_length_a 5.5615
_cell_length_b 5.5925
_cell_length_c 5.6966
_cell_angle_alpha 100.43
_cell_angle_beta 110.03
_cell_angle_gamma 116.56
loop_
_atom_site_label
_atom_site_type_symbol
_atom_site_fract_x
_atom_site_fract_y
_atom_site_fract_z
Rb1 Rb 0.0000 0.0000 0.0000
H1 H 0.2561 0.8175 0.5826
H2 H 0.7439 0.1825 0.4174
Pt1 Pt 0.3465 0.3454 0.6750
Pt2 Pt 0.6535 0.6546 0.3250
O1 O 0.1401 0.9013 0.6292
O2 O 0.2735 0.5067 0.9788
O3 O 0.4588 0.6955 0.5754
O4 O 0.5412 0.3045 0.4246
O5 O 0.7265 0.4933 0.0212
O6 O 0.8599 0.0987 0.3708
```

Summary:
M_tot   0.70 Bohr magnetons per cell

---

## RbH2PtO (PBE-GGA)

Data for a geometry-optimized RbH2PtO structure.

The structure in CIF format:
```
data_RbH2PtO
_symmetry_space_group_name_H-M 'P 1'
_symmetry_Int_Tables_number 1
_symmetry_space_group_name_Hall 'P 1'
_cell_length_a 5.0334
_cell_length_b 5.0334
_cell_length_c 3.7460
_cell_angle_alpha 90.00
_cell_angle_beta 90.00
_cell_angle_gamma 90.00
loop_
_atom_site_label
_atom_site_type_symbol
_atom_site_fract_x
_atom_site_fract_y
_atom_site_fract_z
Rb1 Rb 0.0000 0.0000 0.0000
H1 H 0.0000 0.5000 0.5000
H2 H 0.5000 0.0000 0.5000
Pt1 Pt 0.5000 0.5000 0.0000
O1 O 0.5000 0.5000 0.5000
```

Summary:
M_tot   1.73 Bohr magnetons per cell

---

## Sm2HPtO6 (PBE-GGA)

Data for a geometry-optimized Sm2HPtO6 structure.

The structure in CIF format:
```
data_Sm2HPtO6
_symmetry_space_group_name_H-M 'P 1'
_symmetry_Int_Tables_number 1
_symmetry_space_group_name_Hall 'P 1'
_cell_length_a 5.5471
_cell_length_b 5.5471
_cell_length_c 5.2731
_cell_angle_alpha 115.77
_cell_angle_beta 115.77
_cell_angle_gamma 54.69
loop_
_atom_site_label
_atom_site_type_symbol
_atom_site_fract_x
_atom_site_fract_y
_atom_site_fract_z
Sm1 Sm 0.2397 0.2397 0.2178
Sm2 Sm 0.7603 0.7603 0.7822
H1 H 0.5000 0.5000 0.0000
Pt1 Pt 0.0000 0.0000 0.5000
O1 O 0.2054 0.6766 0.1804
O2 O 0.2325 0.2325 0.6445
O3 O 0.3234 0.7946 0.8196
O4 O 0.6766 0.2054 0.1804
O5 O 0.7675 0.7675 0.3555
O6 O 0.7946 0.3234 0.8196
```

Summary:
M_tot   0.01 Bohr magnetons per cell

---

## SrH2PtO4 (PBE-GGA)

Data for a geometry-optimized SrH2PtO4 structure.

The structure in CIF format:
```
data_SrH2PtO4
_symmetry_space_group_name_H-M 'P 1'
_symmetry_Int_Tables_number 1
_symmetry_space_group_name_Hall 'P 1'
_cell_length_a 5.1773
_cell_length_b 5.1773
_cell_length_c 5.1773
_cell_angle_alpha 122.34
_cell_angle_beta 109.99
_cell_angle_gamma 97.08
loop_
_atom_site_label
_atom_site_type_symbol
_atom_site_fract_x
_atom_site_fract_y
_atom_site_fract_z
Sr1 Sr 0.0000 0.0000 0.0000
H1 H 0.3210 0.8210 0.5000
H2 H 0.6790 0.1790 0.5000
Pt1 Pt 0.5000 0.5000 0.0000
O1 O 0.2409 0.0316 0.6629
O2 O 0.3687 0.5780 0.3371
O3 O 0.6313 0.9684 0.2093
O4 O 0.7591 0.4220 0.7907
```

Summary:
M_tot   1.88 Bohr magnetons per cell

---

In the order shown, the computed DFT total energy values come out to -4.4827, -4.9105, -5.0743, -3.2493, -6.5454, -5.4117 eV per atom.